(1)
Density functional theory data (PBE) for a relaxed ZrSi2Sb crystal.

Calculated values
- Energy relative to the elements, uncorrected: 236 meV per atom
- Electronic total energy: -22.573 eV per cell
- Crystal system: trigonal
- Total moment: 0.00 μB per formula unit

```
ZrSi2Sb
1.0
-3.5191 7.3738 4.2501
-5.6736 5.1548 5.1047
-2.9580 5.4841 6.7820
Si Sb Zr
2 1 1
Direct
0.9943 0.9943 0.9943
0.5057 0.5057 0.5057
0.7500 0.7500 0.7500
0.2500 0.2500 0.2500
```



(2)
Density functional theory data (PBE) for a relaxed ZrSi2Sb crystal.

Calculated values
- Energy relative to the elements, uncorrected: 14 meV per atom
- Electronic total energy: -23.460 eV per cell
- Crystal system: tetragonal
- Total moment: 0.00 μB per formula unit

```
ZrSi2Sb
1.0
3.5469 0.0000 0.0000
0.0000 4.6565 0.0000
0.0000 0.0000 4.6565
Si Sb Zr
2 1 1
Direct
0.0000 0.0000 0.0000
0.0000 0.5000 0.5000
0.5000 0.0000 0.5000
0.5000 0.5000 0.0000
```



(3)
Density functional theory data (PBE) for a relaxed ZrSiSb2 crystal.

Calculated values
- Energy relative to the elements, uncorrected: 102 meV per atom
- Electronic total energy: -21.806 eV per cell
- Crystal system: tetragonal
- Total moment: 0.00 μB per formula unit

```
ZrSiSb2
1.0
-2.2923 2.0113 -1.2834
-2.0439 -0.7373 2.4951
3.0559 6.2605 4.3531
Si Sb Zr
1 2 1
Direct
0.5000 0.5000 0.2500
0.0000 0.0000 0.4973
0.0000 0.0000 0.0027
0.5000 0.5000 0.7500
```



(4)
Density functional theory data (PBE) for a relaxed ZrSi2Sb crystal.

Calculated values
- Energy relative to the elements, uncorrected: 418 meV per atom
- Electronic total energy: -43.690 eV per cell
- Crystal system: tetragonal
- Total moment: 0.00 μB per formula unit

```
ZrSi2Sb
1.0
-6.0582 -0.7390 1.6902
1.7976 -3.6670 4.8401
-1.7579 2.3948 6.6102
Zr Sb Si
2 2 4
Direct
0.2500 0.7500 0.5000
0.5000 0.5000 0.0000
0.7500 0.2500 0.5000
0.0000 0.0000 0.0000
0.8750 0.8785 0.7500
0.1215 0.6250 0.2500
0.3750 0.3715 0.7500
0.6285 0.1250 0.2500
```



(5)
Density functional theory data (PBE) for a relaxed ZrSi2Sb crystal.

Calculated values
- Energy relative to the elements, uncorrected: -23 meV per atom
- Electronic total energy: -23.610 eV per cell
- Crystal system: tetragonal
- Total moment: 0.00 μB per formula unit

```
ZrSi2Sb
1.0
-4.9115 -2.5786 1.0507
-0.4941 -3.4246 4.4613
1.8944 5.1890 -1.1664
Si Sb Zr
2 1 1
Direct
0.2500 0.7500 0.5000
0.0000 0.0000 0.0000
0.7500 0.2500 0.5000
0.5000 0.5000 0.0000
```



(6)
Density functional theory data (PBE) for a relaxed ZrSiSb crystal.

Calculated values
- Energy relative to the elements, uncorrected: -437 meV per atom
- Electronic total energy: -19.404 eV per cell
- Crystal system: monoclinic
- Total moment: 0.00 μB per formula unit

```
ZrSiSb
1.0
5.2516 -0.0070 0.0008
2.7713 4.4580 0.0017
-4.0106 -2.2256 2.5526
Sb Zr Si
1 1 1
Direct
0.0024 0.0017 0.0007
0.6783 0.6780 0.0003
0.3193 0.3203 0.9990
```



(7)
Density functional theory data (PBE) for a relaxed ZrSi2Sb crystal.

Calculated values
- Energy relative to the elements, uncorrected: -250 meV per atom
- Electronic total energy: -24.516 eV per cell
- Crystal system: orthorhombic
- Total moment: 0.00 μB per formula unit

```
ZrSi2Sb
1.0
-3.8385 3.9532 -1.2949
-5.5714 0.4754 -0.8790
-0.5306 0.7128 3.7498
Si Sb Zr
2 1 1
Direct
0.7328 0.7328 0.8750
0.9605 0.9605 0.8750
0.2627 0.2627 0.3750
0.5440 0.5440 0.3750
```



(8)
Density functional theory data (PBE) for a relaxed ZrSi4Sb crystal.

Calculated values
- Energy relative to the elements, uncorrected: 55 meV per atom
- Electronic total energy: -34.034 eV per cell
- Crystal system: cubic
- Total moment: 0.00 μB per formula unit

```
ZrSi4Sb
1.0
0.0972 -2.6437 4.5111
-2.5199 1.8720 4.1826
-4.3236 -2.3799 1.7297
Si Zr Sb
4 1 1
Direct
0.8731 0.3756 0.3756
0.3756 0.3756 0.8731
0.3756 0.3756 0.3756
0.3756 0.8731 0.3756
0.7500 0.7500 0.7500
0.0000 0.0000 0.0000
```